Here is an optimized crystal structure of KRe2Br from the Alexandria database. Energies are from PBE.

Cell lengths 3.165, 3.214, 17.403 Å; angles 90.00, 90.00, 90.00 degrees
Space group Amm2 (No. 38)
One atom of each set of equivalent atoms:
K1 0.000 0.000 0.000
Re1 0.000 0.000 0.766
Re2 0.500 0.000 0.336
Br1 0.500 0.000 0.633

Calculated density, g/cm3: 9.2
E_tot, eV/atom: -6.5486
Raw formation energy, eV/atom: 0.368
Distance to the lowest polymorph of the same formula, eV per atom: 0.080

***

Here is an optimized crystal structure of KRe2Br from the Alexandria database. Energies are from PBE.

Cell lengths 6.646, 6.646, 6.646 Å; angles 90.00, 90.00, 90.00 degrees
Space group Fm-3m (No. 225)
One atom of each set of equivalent atoms:
K1 0.000 0.000 0.000
Re1 0.250 0.250 0.250
Br1 0.000 0.000 0.500

Calculated density, g/cm3: 11.1
E_tot, eV/atom: -4.2901
Raw formation energy, eV/atom: 2.627
Distance to the lowest polymorph of the same formula, eV per atom: 2.339

***

Here is an optimized crystal structure of KRe2Br from the Alexandria database. Energies are from PBE.

Cell lengths 2.917, 4.844, 10.875 Å; angles 90.00, 90.00, 90.00 degrees
Space group Cmmm (No. 65)
One atom of each set of equivalent atoms:
K1 0.000 0.000 0.000
Re1 0.000 0.500 0.276
Br1 0.000 0.000 0.500

Calculated density, g/cm3: 10.6
E_tot, eV/atom: -5.3471
Raw formation energy, eV/atom: 1.570
Distance to the lowest polymorph of the same formula, eV per atom: 1.282

***

Here is an optimized crystal structure of KRe3Br from the Alexandria database. Energies are from PBE.

Cell lengths 4.711, 4.711, 4.711 Å; angles 90.00, 90.00, 90.00 degrees
Space group Pm-3m (No. 221)
One atom of each set of equivalent atoms:
K1 0.000 0.000 0.000
Re1 0.000 0.500 0.500
Br1 0.500 0.500 0.500

Calculated density, g/cm3: 10.8
E_tot, eV/atom: -5.4986
Raw formation energy, eV/atom: 2.524
Distance to the lowest polymorph of the same formula, eV per atom: 0.000

***

Here is an optimized crystal structure of KRe2Br from the Alexandria database. Energies are from PBE.

Cell lengths 2.802, 2.802, 10.105 Å; angles 90.00, 90.00, 90.00 degrees
Space group P4/mmm (No. 123)
One atom of each set of equivalent atoms:
K1 0.000 0.000 0.000
Re1 0.500 0.500 0.290
Br1 0.000 0.000 0.500

Calculated density, g/cm3: 10.3
E_tot, eV/atom: -5.1235
Raw formation energy, eV/atom: 1.793
Distance to the lowest polymorph of the same formula, eV per atom: 1.505

***

Here is an optimized crystal structure of KRe2Br from the Alexandria database. Energies are from PBE.

Cell lengths 2.738, 4.814, 7.325 Å; angles 90.00, 90.00, 90.00 degrees
Space group Pmmm (No. 47)
One atom of each set of equivalent atoms:
K1 0.000 0.000 0.000
Re1 0.000 0.500 0.500
Re2 0.500 0.000 0.500
Br1 0.500 0.500 0.000

Calculated density, g/cm3: 8.5
E_tot, eV/atom: -5.7857
Raw formation energy, eV/atom: 1.131
Distance to the lowest polymorph of the same formula, eV per atom: 0.843

***

Here is an optimized crystal structure of K4ReBr from the Alexandria database. Energies are from PBE.

Cell lengths 10.429, 10.429, 10.429 Å; angles 90.00, 90.00, 90.00 degrees
Space group F-43m (No. 216)
One atom of each set of equivalent atoms:
K1 0.125 0.125 0.125
Re1 0.250 0.250 0.750
Br1 0.000 0.000 0.500

Calculated density, g/cm3: 2.5
E_tot, eV/atom: -2.2004
Raw formation energy, eV/atom: 0.885

***

Here is an optimized crystal structure of K2ReBr7 from the Alexandria database. Energies are from PBE.

Cell lengths 17.193, 8.058, 12.574 Å; angles 90.00, 125.70, 90.00 degrees
Space group C2/c (No. 15)
One atom of each set of equivalent atoms:
K1 0.115 0.162 0.025
Re1 0.000 0.281 0.250
Br1 0.000 0.395 0.750
Br2 0.085 0.280 0.493
Br3 0.094 0.012 0.258
Br4 0.160 0.380 0.287

Calculated density, g/cm3: 3.9
E_tot, eV/atom: -3.3657
Raw formation energy, eV/atom: -0.730

***

Here is an optimized crystal structure of KRe2Br from the Alexandria database. Energies are from PBE.

Cell lengths 3.931, 3.931, 25.686 Å; angles 90.00, 90.00, 90.00 degrees
Space group I-42d (No. 122)
One atom of each set of equivalent atoms:
K1 0.000 0.000 0.000
Re1 0.175 0.750 0.625
Br1 0.000 0.000 0.500

Calculated density, g/cm3: 8.2
E_tot, eV/atom: -5.7381
Raw formation energy, eV/atom: 1.179
Distance to the lowest polymorph of the same formula, eV per atom: 0.891

***

Here is an optimized crystal structure of KRe2Br from the Alexandria database. Energies are from PBE.

Cell lengths 3.785, 3.785, 7.002 Å; angles 90.00, 90.00, 90.00 degrees
Space group P4/mmm (No. 123)
One atom of each set of equivalent atoms:
K1 0.000 0.000 0.000
Re1 0.000 0.500 0.500
Br1 0.500 0.500 0.000

Calculated density, g/cm3: 8.1
E_tot, eV/atom: -5.6426
Raw formation energy, eV/atom: 1.274
Distance to the lowest polymorph of the same formula, eV per atom: 0.986

***

Here is an optimized crystal structure of KReBr from the Alexandria database. Energies are from PBE.

Cell lengths 8.055, 8.055, 8.055 Å; angles 90.00, 90.00, 90.00 degrees
Space group F-43m (No. 216)
One atom of each set of equivalent atoms:
K1 0.000 0.000 0.000
Re1 0.250 0.250 0.250
Br1 0.250 0.250 0.750

Calculated density, g/cm3: 3.9
E_tot, eV/atom: -3.5416
Raw formation energy, eV/atom: 1.531
Distance to the lowest polymorph of the same formula, eV per atom: 0.496

***

Here is an optimized crystal structure of K2ReBr5 from the Alexandria database. Energies are from PBE.

Cell lengths 7.704, 7.704, 9.964 Å; angles 90.00, 90.00, 90.00 degrees
Space group I4mm (No. 107)
One atom of each set of equivalent atoms:
K1 0.000 0.500 0.000
Re1 0.000 0.000 0.259
Br1 0.000 0.000 0.523
Br2 0.231 0.231 0.236

Calculated density, g/cm3: 3.7
E_tot, eV/atom: -3.6949
Raw formation energy, eV/atom: -0.819

***

Respective V values: 22.1 18.3 19.2 20.9 19.8 24.1 47.3 35.4 24.8 25.1 43.5 37.0 Å³ per atom.